[1]
First-principles (GGA-PBE) data for a relaxed structure of HfCdPd, as listed in the Open Quantum Materials Database.

For the formation energy from the elements, the calculation gives -1.132 eV per formula unit. As for the space-group type: I4mm. The raw total energy comes out at -5.7194 eV/atom. Its volume is 112 Å³/cell.

a b c (Å): 3.5134 3.5134 9.0894
angles (deg): 90.00 90.00 90.00
Element x y z (fractional)
Hf  0.0000  0.0000  0.0000
Hf  0.5000  0.5000  0.5000
Cd  0.0000  0.0000  0.6792
Cd  0.5000  0.5000  0.1792
Pd  0.0000  0.0000  0.3415
Pd  0.5000  0.5000  0.8415

[2]
First-principles (GGA-PBE) data for a relaxed structure of MgFeTcGe, as listed in the Open Quantum Materials Database.

As for the space-group type: F-43m. The raw total energy comes out at -6.0755 eV/atom. Its volume is 225 Å³/cell.

a b c (Å): 6.0794 6.0794 6.0794
angles (deg): 90.00 90.00 90.00
Element x y z (fractional)
Mg  0.0000  0.0000  0.0000
Mg  0.0000  0.5000  0.5000
Mg  0.5000  0.0000  0.5000
Mg  0.5000  0.5000  0.0000
Fe  0.2500  0.2500  0.7500
Fe  0.2500  0.7500  0.2500
Fe  0.7500  0.2500  0.2500
Fe  0.7500  0.7500  0.7500
Tc  0.2500  0.2500  0.2500
Tc  0.2500  0.7500  0.7500
Tc  0.7500  0.2500  0.7500
Tc  0.7500  0.7500  0.2500
Ge  0.0000  0.0000  0.5000
Ge  0.0000  0.5000  0.0000
Ge  0.5000  0.0000  0.0000
Ge  0.5000  0.5000  0.5000

[3]
First-principles (GGA-PBE) data for a relaxed structure of YGe2Os, as listed in the Open Quantum Materials Database.

As for the space-group type: F-43m. The raw total energy comes out at -6.6635 eV/atom. Its volume is 300 Å³/cell.

a b c (Å): 6.6951 6.6951 6.6951
angles (deg): 90.00 90.00 90.00
Element x y z (fractional)
Y  0.0000  0.0000  0.0000
Y  0.0000  0.5000  0.5000
Y  0.5000  0.0000  0.5000
Y  0.5000  0.5000  0.0000
Ge  0.0000  0.0000  0.5000
Ge  0.0000  0.5000  0.0000
Ge  0.2500  0.2500  0.7500
Ge  0.2500  0.7500  0.2500
Ge  0.5000  0.0000  0.0000
Ge  0.5000  0.5000  0.5000
Ge  0.7500  0.2500  0.2500
Ge  0.7500  0.7500  0.7500
Os  0.2500  0.2500  0.2500
Os  0.2500  0.7500  0.7500
Os  0.7500  0.2500  0.7500
Os  0.7500  0.7500  0.2500

[4]
First-principles (GGA-PBE) data for a relaxed structure of RbReO3, as listed in the Open Quantum Materials Database.

As for the space-group type: Pnma. The raw total energy comes out at -7.0592 eV/atom. Its volume is 360 Å³/cell.

a b c (Å): 5.0570 11.0006 6.4797
angles (deg): 90.00 90.00 90.00
Element x y z (fractional)
Rb  0.0000  0.0000  0.0000
Rb  0.0000  0.5000  0.0000
Rb  0.5000  0.0000  0.5000
Rb  0.5000  0.5000  0.5000
Re  0.0229  0.2500  0.4596
Re  0.4771  0.7500  0.9596
Re  0.5229  0.2500  0.0404
Re  0.9771  0.7500  0.5404
O  0.0233  0.6146  0.3989
O  0.0233  0.8854  0.3989
O  0.1372  0.7500  0.8168
O  0.3628  0.2500  0.3168
O  0.4767  0.1146  0.8989
O  0.4767  0.3854  0.8989
O  0.5233  0.6146  0.1011
O  0.5233  0.8854  0.1011
O  0.6372  0.7500  0.6832
O  0.8628  0.2500  0.1832
O  0.9767  0.1146  0.6011
O  0.9767  0.3854  0.6011

[5]
First-principles (GGA-PBE) data for a relaxed structure of BeNbCu2, as listed in the Open Quantum Materials Database.

As for the space-group type: F-43m. The raw total energy comes out at -5.2030 eV/atom. Its volume is 199 Å³/cell.

a b c (Å): 5.8353 5.8353 5.8353
angles (deg): 90.00 90.00 90.00
Element x y z (fractional)
Be  0.0000  0.0000  0.0000
Be  0.0000  0.5000  0.5000
Be  0.5000  0.0000  0.5000
Be  0.5000  0.5000  0.0000
Nb  0.2500  0.2500  0.2500
Nb  0.2500  0.7500  0.7500
Nb  0.7500  0.2500  0.7500
Nb  0.7500  0.7500  0.2500
Cu  0.0000  0.0000  0.5000
Cu  0.0000  0.5000  0.0000
Cu  0.2500  0.2500  0.7500
Cu  0.2500  0.7500  0.2500
Cu  0.5000  0.0000  0.0000
Cu  0.5000  0.5000  0.5000
Cu  0.7500  0.2500  0.2500
Cu  0.7500  0.7500  0.7500

[6]
First-principles (GGA-PBE) data for a relaxed structure of Li2NbAu, as listed in the Open Quantum Materials Database.

As for the space-group type: F-43m. The raw total energy comes out at -4.2841 eV/atom. Its volume is 248 Å³/cell.

a b c (Å): 6.2787 6.2787 6.2787
angles (deg): 90.00 90.00 90.00
Element x y z (fractional)
Li  0.0000  0.0000  0.0000
Li  0.0000  0.5000  0.5000
Li  0.2500  0.2500  0.2500
Li  0.2500  0.7500  0.7500
Li  0.5000  0.0000  0.5000
Li  0.5000  0.5000  0.0000
Li  0.7500  0.2500  0.7500
Li  0.7500  0.7500  0.2500
Nb  0.0000  0.0000  0.5000
Nb  0.0000  0.5000  0.0000
Nb  0.5000  0.0000  0.0000
Nb  0.5000  0.5000  0.5000
Au  0.2500  0.2500  0.7500
Au  0.2500  0.7500  0.2500
Au  0.7500  0.2500  0.2500
Au  0.7500  0.7500  0.7500

raw total energy of number 5 (BeNbCu2)?
-5.2030 eV/atom